(1)
The following is a DFT calculation (PBE) of an optimized crystal structure of Li3Ho3NpS8.

It has space group R-3m (No. 166, hexagonal axes), with a = 7.8431 Å, b = 7.8431 Å, c = 18.4878 Å, α = 90.00°, β = 90.00° and γ = 120.00°. The asymmetric unit holds Li at (0.0000, 0.5000, 0.0000), Ho at (0.0000, 0.5000, 0.5000), Np at (0.0000, 0.0000, 0.5000), S at (0.0000, 0.0000, 0.2496) and S at (0.0060, 0.5030, 0.2476).

Its total energy is -6.07 eV/atom. The density of states at the Fermi level is 0.88 states/eV per atom. The value obtained for the spin magnetization is 9.00 μB/cell.

=====

(2)
The following is a DFT calculation (PBE) of an optimized crystal structure of K2Pb3C3O9F2.

It has space group P6_3/mmc (No. 194), with a = 5.3721 Å, b = 5.3721 Å, c = 23.8392 Å, α = 90.00°, β = 90.00° and γ = 120.00°. The asymmetric unit holds K at (0.3333, 0.6667, 0.1530), Pb at (0.3333, 0.6667, 0.5500), Pb at (0.3333, 0.6667, 0.7500), C at (0.0000, 0.0000, 0.0653), C at (0.0000, 0.0000, 0.2500), O at (0.1399, 0.2798, 0.0651), O at (0.1399, 0.2799, 0.2500) and F at (0.3333, 0.6667, 0.6470).

Its total energy is -6.41 eV/atom. The density of states at the Fermi level is 0.00 states/eV per atom. The value obtained for the spin magnetization is 0.00 μB/cell.